Cu3WSe6 | PBE | relaxed

Cell and atoms, written as CIF:
```
data_Cu3WSe6
_chemical_formula_sum 'Cu6 W2 Se12'
_space_group_name_H-M_alt 'P 1 21/c 1'
_space_group_IT_number 14
_space_group_name_Hall '-P 2ybc'
_cell_length_a 6.223
_cell_length_b 6.181
_cell_length_c 12.137
_cell_angle_alpha 90.00
_cell_angle_beta 118.30
_cell_angle_gamma 90.00
loop_
_atom_site_label
_atom_site_type_symbol
_atom_site_fract_x
_atom_site_fract_y
_atom_site_fract_z
Cu1 Cu 0.000 0.000 0.000
Cu2 Cu 0.198 0.012 0.748
W1 W 0.500 0.000 0.500
Se1 Se 0.174 0.631 0.055
Se2 Se 0.197 0.099 0.280
Se3 Se 0.450 0.122 0.068
```

Values from the calculation:
For the uncorrected formation energy, the calculation gives -8.9 kJ/mol of atoms. Its calculated volume is 411 Å³ per cell.


CuWSe3 | PBE | relaxed

Cell and atoms, written as CIF:
```
data_CuWSe3
_chemical_formula_sum 'Cu1 W1 Se3'
_space_group_name_H-M_alt 'P m -3 m'
_space_group_IT_number 221
_space_group_name_Hall '-P 4 2 3'
_cell_length_a 4.939
_cell_length_b 4.939
_cell_length_c 4.939
_cell_angle_alpha 90.00
_cell_angle_beta 90.00
_cell_angle_gamma 90.00
loop_
_atom_site_label
_atom_site_type_symbol
_atom_site_fract_x
_atom_site_fract_y
_atom_site_fract_z
Cu1 Cu 0.000 0.000 0.000
W1 W 0.500 0.500 0.500
Se1 Se 0.000 0.500 0.500
```

Values from the calculation:
The value obtained for the energy above the most stable polymorph in this dataset is 0.00 eV/f.u. For the uncorrected formation energy, the calculation gives 55.6 kJ/mol of atoms. Its calculated volume is 121 Å³ per cell.


CuW2Se | PBE | relaxed

Cell and atoms, written as CIF:
```
data_CuW2Se
_chemical_formula_sum 'Cu4 W8 Se4'
_space_group_name_H-M_alt 'I -4 2 d'
_space_group_IT_number 122
_space_group_name_Hall 'I -4 2bw'
_cell_length_a 3.773
_cell_length_b 3.773
_cell_length_c 18.670
_cell_angle_alpha 90.00
_cell_angle_beta 90.00
_cell_angle_gamma 90.00
loop_
_atom_site_label
_atom_site_type_symbol
_atom_site_fract_x
_atom_site_fract_y
_atom_site_fract_z
Cu1 Cu 0.000 0.000 0.000
W1 W 0.235 0.250 0.125
Se1 Se 0.000 0.000 0.500
```

Values from the calculation:
For the uncorrected formation energy, the calculation gives 66.9 kJ/mol of atoms. Its calculated volume is 266 Å³ per cell.


Number 1: E_tot -4.707 eV per atom. Number 2: E_tot -4.924 eV per atom. Number 3: E_tot -7.679 eV per atom.